VASP calculation (GGA-PBE) on an optimized crystal structure of CrSi2Ru.

```
data_CrSi2Ru
_cell_length_a 2.776
_cell_length_b 3.824
_cell_length_c 5.026
_cell_angle_alpha 90.00
_cell_angle_beta 92.23
_cell_angle_gamma 90.00
_space_group_name_H-M_alt 'P 1 2/m 1'
_space_group_IT_number 10
loop_
_space_group_symop_operation_xyz
'x,y,z'
'-x,-y,-z'
'-x,y,-z'
'x,-y,z'
loop_
_atom_site_label
_atom_site_type_symbol
_atom_site_fract_x
_atom_site_fract_y
_atom_site_fract_z
Cr1 Cr 0.000 0.000 0.000
Si1 Si 0.402 0.500 0.764
Ru1 Ru 0.500 0.000 0.500
```

Computed properties:
- size of the total moment (μB/cell) = 1.17
- E_form (uncorrected) (eV/f.u.) = -0.552
- E (eV/cell) = -30.3